(1)
DFT (GGA-PBE) results for a geometry-optimized PmCdSn2Pd4 structure.

Its total energy is -4.9140 eV/atom. The value obtained for the formation energy is -4.87 eV/f.u.

It has space group R-3m (No. 166, hexagonal axes), with a = 4.6787 Å, b = 4.6787 Å, c = 24.6899 Å, α = 90.00°, β = 90.00° and γ = 120.00°. The asymmetric unit holds Pm at (0.0000, 0.0000, 0.0000), Cd at (0.0000, 0.0000, 0.5000), Sn at (0.0000, 0.0000, 0.2478), Pd at (0.0000, 0.0000, 0.1274) and Pd at (0.0000, 0.0000, 0.3895).



(2)
DFT (GGA-PBE) results for a geometry-optimized Eu2DyBr structure.

Its total energy is -7.2834 eV/atom. For the formation energy from raw total energies, the calculation gives -577.5 meV/atom. The relative energy among the computed polymorphs is 65 meV/atom.

It has space group P4/mmm (No. 123), with a = 3.685 Å, b = 3.685 Å, c = 10.027 Å, α = 90.00°, β = 90.00° and γ = 90.00°. The asymmetric unit holds Eu at (0.000, 0.000, 0.225), Dy at (0.500, 0.500, 0.500) and Br at (0.500, 0.500, 0.000).



(3)
DFT (GGA-PBE) results for a geometry-optimized La5ErCu6 structure.

Its total energy is -4.6347 eV/atom. The value obtained for the formation energy is -1.84 eV/f.u.

It has space group C2/m (No. 12), with a = 16.228 Å, b = 7.211 Å, c = 5.114 Å, α = 90.00°, β = 108.27° and γ = 90.00°. The asymmetric unit holds La at (0.000, 0.000, 0.000), La at (0.165, 0.000, 0.664), La at (0.170, 0.500, 0.669), Er at (0.000, 0.500, 0.000), Cu at (0.000, 0.280, 0.500) and Cu at (0.158, 0.265, 0.157).



(4)
DFT (GGA-PBE) results for a geometry-optimized BaReRhF2 structure.

Its total energy is -5.1105 eV/atom. For the formation energy from raw total energies, the calculation gives -17.5 meV/atom.

It has space group P4/mmm (No. 123), with a = 4.022 Å, b = 4.022 Å, c = 7.149 Å, α = 90.00°, β = 90.00° and γ = 90.00°. The asymmetric unit holds Ba at (0.000, 0.000, 0.000), Re at (0.000, 0.000, 0.500), Rh at (0.500, 0.500, 0.000) and F at (0.000, 0.500, 0.500).



(5)
DFT (GGA-PBE) results for a geometry-optimized CaZn2AgF8 structure.

Its total energy is -4.2011 eV/atom. For the formation energy from raw total energies, the calculation gives -2336.9 meV/atom.

It has space group I-4m2 (No. 119), with a = 7.148 Å, b = 7.148 Å, c = 7.108 Å, α = 90.00°, β = 90.00° and γ = 90.00°. The asymmetric unit holds Ca at (0.000, 0.000, 0.000), Zn at (0.000, 0.000, 0.500), Zn at (0.000, 0.500, 0.750), Ag at (0.000, 0.500, 0.250), F at (0.000, 0.189, 0.305) and F at (0.000, 0.307, 0.936).



(6)
DFT (GGA-PBE) results for a geometry-optimized KHfZnFe2 structure.

Its total energy is -3.7183 eV/atom. The value obtained for the formation energy is 10.66 eV/f.u.

It has space group P4/mmm (No. 123), with a = 4.301 Å, b = 4.301 Å, c = 4.782 Å, α = 90.00°, β = 90.00° and γ = 90.00°. The asymmetric unit holds K at (0.000, 0.000, 0.000), Hf at (0.500, 0.500, 0.500), Zn at (0.000, 0.000, 0.500) and Fe at (0.000, 0.500, 0.000).



(7)
DFT (GGA-PBE) results for a geometry-optimized LiSm2Th structure.

Its total energy is -4.5339 eV/atom. The relative energy among the computed polymorphs is 113 meV/atom. The value obtained for the formation energy is 0.64 eV/f.u.

It has space group R-3m (No. 166, hexagonal axes), with a = 3.5455 Å, b = 3.5455 Å, c = 36.5129 Å, α = 90.00°, β = 90.00° and γ = 120.00°. The asymmetric unit holds Li at (0.0000, 0.0000, 0.0000), Sm at (0.0000, 0.0000, 0.0897) and Th at (0.0000, 0.0000, 0.5000).



(8)
DFT (GGA-PBE) results for a geometry-optimized SmDyIn2 structure.

Its total energy is -4.1769 eV/atom. The relative energy among the computed polymorphs is 3 meV/atom. The value obtained for the formation energy is -1.91 eV/f.u.

It has space group Cmmm (No. 65), with a = 7.017 Å, b = 8.711 Å, c = 3.558 Å, α = 90.00°, β = 90.00° and γ = 90.00°. The asymmetric unit holds Sm at (0.000, 0.000, 0.000), Dy at (0.000, 0.500, 0.000) and In at (0.250, 0.250, 0.500).



(9)
DFT (GGA-PBE) results for a geometry-optimized GaSi3Mo structure.

Its total energy is -5.5413 eV/atom. For the formation energy from raw total energies, the calculation gives 484.1 meV/atom. The relative energy among the computed polymorphs is 0 meV/atom.

It has space group Pm-3m (No. 221), with a = 4.768 Å, b = 4.768 Å, c = 4.768 Å, α = 90.00°, β = 90.00° and γ = 90.00°. The asymmetric unit holds Ga at (0.000, 0.000, 0.000), Si at (0.000, 0.500, 0.500) and Mo at (0.500, 0.500, 0.500).



(10)
DFT (GGA-PBE) results for a geometry-optimized Sm3Y3Ho8 structure.

Its total energy is -4.8989 eV/atom. The value obtained for the formation energy is 1.59 eV/f.u.

It has space group Immm (No. 71), with a = 5.628 Å, b = 10.859 Å, c = 14.887 Å, α = 90.00°, β = 90.00° and γ = 90.00°. The asymmetric unit holds Sm at (0.000, 0.000, 0.000), Sm at (0.000, 0.500, 0.317), Y at (0.000, 0.000, 0.500), Y at (0.000, 0.297, 0.500), Ho at (0.000, 0.159, 0.277) and Ho at (0.000, 0.343, 0.103).



| no. | mass density (g/cm3) | calculated volume (Å³/cell) |
| --- | --- | --- |
| 1 | 9.797 | 468.1 |
| 2 | 6.663 | 136.2 |
| 3 | 7.265 | 568.2 |
| 4 | 6.669 | 115.6 |
| 5 | 3.939 | 363.2 |
| 6 | 7.409 | 88.5 |
| 7 | 6.764 | 397.5 |
| 8 | 8.283 | 217.5 |
| 9 | 3.828 | 108.4 |
| 10 | 7.437 | 909.8 |